[1]
An optimized crystal structure of La2TbNd6Sm. Source: the Alexandria database, functional PBE.

Properties
Theoretical density (g/cm3): 6.82
Energy of formation from the pure elements (eV per atom): 0.1101
Calculated volume (Å³ per atom): 35.374
Magnetic moment (μB per formula unit): 0.00
Raw total energy (eV per atom): -4.671

```
data_La2TbNd6Sm
_chemical_formula_sum 'La4 Tb2 Nd12 Sm2'
_cell_length_a 8.9426
_cell_length_b 8.9426
_cell_length_c 10.1706
_cell_angle_alpha 95.29
_cell_angle_beta 95.29
_cell_angle_gamma 117.86
_space_group_name_H-M_alt 'P 1'
_space_group_IT_number 1
_space_group_name_Hall 'P 1'
loop_
_atom_site_label
_atom_site_fract_x
_atom_site_fract_y
_atom_site_fract_z
La1 0.1917 0.2882 0.0408
La2 0.2882 0.1917 0.5408
La3 0.7118 0.8083 0.4592
La4 0.8083 0.7118 0.9592
Tb1 0.4050 0.5950 0.7500
Tb2 0.5950 0.4050 0.2500
Nd1 0.0185 0.5795 0.1889
Nd2 0.1201 0.7397 0.5558
Nd3 0.2603 0.8799 0.9442
Nd4 0.2980 0.5023 0.3792
Nd5 0.4205 0.9815 0.3111
Nd6 0.4977 0.7020 0.1208
Nd7 0.5023 0.2980 0.8792
Nd8 0.5795 0.0185 0.6889
Nd9 0.7020 0.4977 0.6208
Nd10 0.7397 0.1201 0.0558
Nd11 0.8799 0.2603 0.4442
Nd12 0.9815 0.4205 0.8111
Sm1 0.0120 0.9880 0.2500
Sm2 0.9880 0.0120 0.7500
```

=====

[2]
An optimized crystal structure of LaTb2NdSm5. Source: the Alexandria database, functional PBE.

Properties
Theoretical density (g/cm3): 7.25
Energy of formation from the pure elements (eV per atom): 0.2661
Calculated volume (Å³ per atom): 34.418
Magnetic moment (μB per formula unit): 0.00
Raw total energy (eV per atom): -4.462

```
data_LaTb2NdSm5
_chemical_formula_sum 'La2 Tb4 Nd2 Sm10'
_cell_length_a 10.0971
_cell_length_b 10.0971
_cell_length_c 10.0971
_cell_angle_alpha 128.09
_cell_angle_beta 128.09
_cell_angle_gamma 76.48
_space_group_name_H-M_alt 'P 1'
_space_group_IT_number 1
_space_group_name_Hall 'P 1'
loop_
_atom_site_label
_atom_site_fract_x
_atom_site_fract_y
_atom_site_fract_z
La1 0.2500 0.2500 0.0000
La2 0.7500 0.7500 0.0000
Tb1 0.1186 0.6186 0.7372
Tb2 0.3814 0.1186 0.5000
Tb3 0.6186 0.8814 0.5000
Tb4 0.8814 0.3814 0.2628
Nd1 0.2500 0.7500 0.5000
Nd2 0.7500 0.2500 0.5000
Sm1 0.0000 0.0000 0.0000
Sm2 0.0662 0.1664 0.5000
Sm3 0.1664 0.6664 0.1001
Sm4 0.3336 0.4338 0.5000
Sm5 0.4338 0.9338 0.1001
Sm6 0.5000 0.5000 0.0000
Sm7 0.5662 0.0662 0.8999
Sm8 0.6664 0.5662 0.5000
Sm9 0.8336 0.3336 0.8999
Sm10 0.9338 0.8336 0.5000
```

=====

[3]
An optimized crystal structure of La2TbNd2Sm4. Source: the Alexandria database, functional PBE.

Properties
Theoretical density (g/cm3): 7.04
Energy of formation from the pure elements (eV per atom): 0.0083
Calculated volume (Å³ per atom): 34.760
Magnetic moment (μB per formula unit): 0.00
Raw total energy (eV per atom): -4.758

```
data_La2TbNd2Sm4
_chemical_formula_sum 'La2 Tb1 Nd2 Sm4'
_cell_length_a 9.7531
_cell_length_b 9.7531
_cell_length_c 9.8080
_cell_angle_alpha 115.18
_cell_angle_beta 115.18
_cell_angle_gamma 21.84
_space_group_name_H-M_alt 'P 1'
_space_group_IT_number 1
_space_group_name_Hall 'P 1'
loop_
_atom_site_label
_atom_site_fract_x
_atom_site_fract_y
_atom_site_fract_z
La1 0.1652 0.1652 0.4995
La2 0.8348 0.8348 0.5005
Tb1 0.5000 0.5000 0.5000
Nd1 0.3529 0.3529 0.8350
Nd2 0.6471 0.6471 0.1650
Sm1 0.0192 0.0192 0.8313
Sm2 0.3149 0.3149 0.1655
Sm3 0.6851 0.6851 0.8345
Sm4 0.9808 0.9808 0.1687
```

=====

[4]
An optimized crystal structure of LaTbNd4Sm2. Source: the Alexandria database, functional PBE.

Properties
Theoretical density (g/cm3): 7.02
Energy of formation from the pure elements (eV per atom): 0.0165
Calculated volume (Å³ per atom): 34.777
Magnetic moment (μB per formula unit): 0.00
Raw total energy (eV per atom): -4.742

```
data_LaTbNd4Sm2
_chemical_formula_sum 'La1 Tb1 Nd4 Sm2'
_cell_length_a 6.3207
_cell_length_b 3.6748
_cell_length_c 12.1729
_cell_angle_alpha 90.00
_cell_angle_beta 100.27
_cell_angle_gamma 90.00
_space_group_name_H-M_alt 'P 1'
_space_group_IT_number 1
_space_group_name_Hall 'P 1'
loop_
_atom_site_label
_atom_site_fract_x
_atom_site_fract_y
_atom_site_fract_z
La1 0.0000 0.0000 0.0000
Tb1 0.5000 0.5000 0.0000
Nd1 0.2503 0.0000 0.7500
Nd2 0.2512 0.5000 0.2517
Nd3 0.7488 0.5000 0.7483
Nd4 0.7497 0.0000 0.2500
Sm1 0.0000 0.5000 0.5000
Sm2 0.5000 0.0000 0.5000
```

=====

[5]
An optimized crystal structure of La3Tb6Nd2Sm. Source: the Alexandria database, functional PBE.

Properties
Theoretical density (g/cm3): 7.41
Energy of formation from the pure elements (eV per atom): 0.0123
Calculated volume (Å³ per atom): 33.804
Magnetic moment (μB per formula unit): 0.00
Raw total energy (eV per atom): -4.723

```
data_La3Tb6Nd2Sm
_chemical_formula_sum 'La3 Tb6 Nd2 Sm1'
_cell_length_a 6.3161
_cell_length_b 6.3161
_cell_length_c 11.9314
_cell_angle_alpha 95.05
_cell_angle_beta 95.05
_cell_angle_gamma 120.03
_space_group_name_H-M_alt 'P 1'
_space_group_IT_number 1
_space_group_name_Hall 'P 1'
loop_
_atom_site_label
_atom_site_fract_x
_atom_site_fract_y
_atom_site_fract_z
La1 0.0000 0.0000 0.0000
La2 0.3332 0.6668 0.0000
La3 0.6668 0.3332 0.0000
Tb1 0.0846 0.4176 0.2524
Tb2 0.2493 0.2493 0.7477
Tb3 0.4176 0.0846 0.2524
Tb4 0.5824 0.9154 0.7476
Tb5 0.7507 0.7507 0.2523
Tb6 0.9154 0.5824 0.7476
Nd1 0.1666 0.8334 0.5000
Nd2 0.8334 0.1666 0.5000
Sm1 0.5000 0.5000 0.5000
```

=====

[6]
An optimized crystal structure of LaTbNd5Sm2. Source: the Alexandria database, functional PBE.

Properties
Theoretical density (g/cm3): 6.90
Energy of formation from the pure elements (eV per atom): 0.2667
Calculated volume (Å³ per atom): 35.305
Magnetic moment (μB per formula unit): 0.00
Raw total energy (eV per atom): -4.493

```
data_LaTbNd5Sm2
_chemical_formula_sum 'La2 Tb2 Nd10 Sm4'
_cell_length_a 10.0917
_cell_length_b 10.0917
_cell_length_c 10.0917
_cell_angle_alpha 126.96
_cell_angle_beta 126.96
_cell_angle_gamma 78.31
_space_group_name_H-M_alt 'P 1'
_space_group_IT_number 1
_space_group_name_Hall 'P 1'
loop_
_atom_site_label
_atom_site_fract_x
_atom_site_fract_y
_atom_site_fract_z
La1 0.2500 0.2500 0.0000
La2 0.7500 0.7500 0.0000
Tb1 0.2500 0.7500 0.5000
Tb2 0.7500 0.2500 0.5000
Nd1 0.0000 0.0000 0.0000
Nd2 0.0699 0.5699 0.9121
Nd3 0.1577 0.0699 0.5000
Nd4 0.3423 0.8423 0.9121
Nd5 0.4301 0.3423 0.5000
Nd6 0.5000 0.5000 0.0000
Nd7 0.5699 0.6577 0.5000
Nd8 0.6577 0.1577 0.0879
Nd9 0.8423 0.9301 0.5000
Nd10 0.9301 0.4301 0.0879
Sm1 0.1158 0.3842 0.5000
Sm2 0.3842 0.8842 0.2685
Sm3 0.6158 0.1158 0.7315
Sm4 0.8842 0.6158 0.5000
```

=====

[7]
An optimized crystal structure of LaNd2Sm3Te6. Source: the Alexandria database, functional PBE.

Properties
Theoretical density (g/cm3): 7.13
E_form (uncorrected) (kcal/mol of atoms): -33.06
Calculated volume (Å³ per atom): 31.912
Magnetic moment (μB per formula unit): 0.00
Raw total energy (eV per atom): -5.389

```
data_LaNd2Sm3Te6
_chemical_formula_sum 'La1 Nd2 Sm3 Te6'
_cell_length_a 10.0254
_cell_length_b 10.0254
_cell_length_c 9.0098
_cell_angle_alpha 103.04
_cell_angle_beta 103.04
_cell_angle_gamma 25.77
_space_group_name_H-M_alt 'P 1'
_space_group_IT_number 1
_space_group_name_Hall 'P 1'
loop_
_atom_site_label
_atom_site_fract_x
_atom_site_fract_y
_atom_site_fract_z
La1 0.0000 0.0000 0.0000
Nd1 0.3322 0.3322 0.6650
Nd2 0.6678 0.6678 0.3350
Sm1 0.0000 0.0000 0.5000
Sm2 0.3340 0.3340 0.1681
Sm3 0.6660 0.6660 0.8319
Te1 0.1653 0.1653 0.5856
Te2 0.1692 0.1692 0.0816
Te3 0.4999 0.4999 0.2560
Te4 0.5001 0.5001 0.7440
Te5 0.8308 0.8308 0.9184
Te6 0.8347 0.8347 0.4144
```

=====

[8]
An optimized crystal structure of La3Nd2SmTe6. Source: the Alexandria database, functional PBE.

Properties
Theoretical density (g/cm3): 6.82
E_form (uncorrected) (kcal/mol of atoms): -34.75
Calculated volume (Å³ per atom): 32.884
Magnetic moment (μB per formula unit): 0.00
Raw total energy (eV per atom): -5.497

```
data_La3Nd2SmTe6
_chemical_formula_sum 'La3 Nd2 Sm1 Te6'
_cell_length_a 10.1098
_cell_length_b 10.1098
_cell_length_c 9.0829
_cell_angle_alpha 102.62
_cell_angle_beta 102.62
_cell_angle_gamma 25.86
_space_group_name_H-M_alt 'P 1'
_space_group_IT_number 1
_space_group_name_Hall 'P 1'
loop_
_atom_site_label
_atom_site_fract_x
_atom_site_fract_y
_atom_site_fract_z
La1 0.0000 0.0000 0.0000
La2 0.3322 0.3322 0.6669
La3 0.6678 0.6678 0.3331
Nd1 0.3331 0.3331 0.1666
Nd2 0.6669 0.6669 0.8334
Sm1 0.0000 0.0000 0.5000
Te1 0.1641 0.1641 0.5847
Te2 0.1676 0.1676 0.0802
Te3 0.4994 0.4994 0.2559
Te4 0.5006 0.5006 0.7441
Te5 0.8324 0.8324 0.9198
Te6 0.8359 0.8359 0.4153
```

=====

[9]
An optimized crystal structure of LaNd3Sm3Te8. Source: the Alexandria database, functional PBE.

Properties
Theoretical density (g/cm3): 6.75
E_form (uncorrected) (kcal/mol of atoms): -33.73
Calculated volume (Å³ per atom): 33.530
Magnetic moment (μB per formula unit): 0.00
Raw total energy (eV per atom): -5.364

```
data_LaNd3Sm3Te8
_chemical_formula_sum 'La1 Nd3 Sm3 Te8'
_cell_length_a 8.9291
_cell_length_b 8.9291
_cell_length_c 8.9291
_cell_angle_alpha 59.96
_cell_angle_beta 59.96
_cell_angle_gamma 59.96
_space_group_name_H-M_alt 'P 1'
_space_group_IT_number 1
_space_group_name_Hall 'P 1'
loop_
_atom_site_label
_atom_site_fract_x
_atom_site_fract_y
_atom_site_fract_z
La1 0.0000 0.0000 0.0000
Nd1 0.0000 0.0000 0.5000
Nd2 0.0000 0.5000 0.0000
Nd3 0.5000 0.0000 0.0000
Sm1 0.0000 0.5000 0.5000
Sm2 0.5000 0.0000 0.5000
Sm3 0.5000 0.5000 0.0000
Te1 0.2514 0.2514 0.2514
Te2 0.2592 0.2592 0.7380
Te3 0.2592 0.7380 0.2592
Te4 0.2620 0.7408 0.7408
Te5 0.7380 0.2592 0.2592
Te6 0.7408 0.2620 0.7408
Te7 0.7408 0.7408 0.2620
Te8 0.7486 0.7486 0.7486
```

=====

[10]
An optimized crystal structure of La3Nd4SmTe8. Source: the Alexandria database, functional PBE.

Properties
Theoretical density (g/cm3): 6.86
E_form (uncorrected) (kcal/mol of atoms): -34.15
Calculated volume (Å³ per atom): 32.745
Magnetic moment (μB per formula unit): 0.00
Raw total energy (eV per atom): -5.462

```
data_La3Nd4SmTe8
_chemical_formula_sum 'La3 Nd4 Sm1 Te8'
_cell_length_a 9.0334
_cell_length_b 9.0334
_cell_length_c 9.0334
_cell_angle_alpha 60.24
_cell_angle_beta 60.24
_cell_angle_gamma 60.24
_space_group_name_H-M_alt 'P 1'
_space_group_IT_number 1
_space_group_name_Hall 'P 1'
loop_
_atom_site_label
_atom_site_fract_x
_atom_site_fract_y
_atom_site_fract_z
La1 0.0000 0.5000 0.5000
La2 0.5000 0.0000 0.5000
La3 0.5000 0.5000 0.0000
Nd1 0.0000 0.0000 0.5000
Nd2 0.0000 0.5000 0.0000
Nd3 0.5000 0.0000 0.0000
Nd4 0.5000 0.5000 0.5000
Sm1 0.0000 0.0000 0.0000
Te1 0.2454 0.7515 0.7515
Te2 0.2484 0.2484 0.2484
Te3 0.2485 0.2485 0.7546
Te4 0.2485 0.7546 0.2485
Te5 0.7515 0.2454 0.7515
Te6 0.7515 0.7515 0.2454
Te7 0.7516 0.7516 0.7516
Te8 0.7546 0.2485 0.2485
```